! Ac2Mo2O7 | Alexandria via LeMat-Bulk | PBE+U | relaxed; values from VASP
&SYSTEM
  ibrav = 0, nat = 22, ntyp = 3
/
ATOMIC_SPECIES
Ac 227.00 Ac.upf
Mo 95.94 Mo.upf
O 16.00 O.upf
ATOMIC_POSITIONS crystal
Ac 0.0000 0.0000 0.0000
Ac 0.0000 0.0000 0.5000
Ac 0.0000 0.5000 0.0000
Ac 0.5000 0.0000 0.0000
Mo 0.0000 0.5000 0.5000
Mo 0.5000 0.0000 0.5000
Mo 0.5000 0.5000 0.0000
Mo 0.5000 0.5000 0.5000
O 0.1250 0.1250 0.1250
O 0.1733 0.1733 0.5767
O 0.1733 0.5767 0.1733
O 0.1733 0.5767 0.5767
O 0.4233 0.4233 0.8267
O 0.4233 0.8267 0.4233
O 0.4233 0.8267 0.8267
O 0.5767 0.1733 0.1733
O 0.5767 0.1733 0.5767
O 0.5767 0.5767 0.1733
O 0.8267 0.4233 0.4233
O 0.8267 0.4233 0.8267
O 0.8267 0.8267 0.4233
O 0.8750 0.8750 0.8750
CELL_PARAMETERS angstrom
0.0000 5.4581 5.4581
5.4581 0.0000 5.4581
5.4581 5.4581 0.0000
! Space-group type: Fd-3m (227)
! E (eV/atom): -7.698